A relaxed CaZrCl6 crystal, computed with PBE.

a = 6.5743 Å, b = 12.4990 Å, c = 6.5408 Å
α = 90.00°, β = 106.35°, γ = 90.00°
Last column: nearest neighbours and their distance in Å.
Space group C2/m (No. 12)
Symmetry-distinct sites (fractional):
Ca 0.0000 0.0000 0.0000 [2 per cell]  6 Cl 2.76-2.77
Zr 0.0000 0.5000 0.5000 [2 per cell]  6 Cl 2.48-2.50
Cl 0.2253 0.3604 0.7308 [8 per cell]  1 Zr 2.50, 1 Ca 2.76
Cl 0.2400 0.5000 0.2675 [4 per cell]  1 Zr 2.48, 1 Ca 2.77

Computed properties:
* ρ: 2.22 g/cm3
* E above lowest polymorph: 0.000 eV per atom
* uncorrected formation energy: -192.6 kJ/mol of atoms
* magnetic moment: 0.00 μB per formula unit